# 1
Below is crystalline Tb6Dy3Er2In at its relaxed geometry, with properties calculated at the PBE level.

a = 6.0918 Å, b = 10.5635 Å, c = 11.6032 Å
α = 90.00°, β = 100.15°, γ = 90.00°
Closest atoms and distances in Å follow each position.
Space group C2/m (No. 12)
Asymmetric unit:
Tb (0.2458, 0.1644, 0.2462)  1 In 3.45, 6 Tb 3.47-3.55, 2 Er 3.48, 3 Dy 3.53-3.55
Tb (0.2472, 0.0000, 0.7523)  6 Tb 3.47-3.55, 1 In 3.47, 2 Er 3.49, 3 Dy 3.52-3.54
Dy (0.0000, 0.1672, 0.5000)  6 Dy 3.51-3.53, 6 Tb 3.52-3.55
Dy (0.0000, 0.5000, 0.5000)  6 Dy 3.52, 6 Tb 3.53-3.54
Er (0.0000, 0.3341, 0.0000)  6 Tb 3.48-3.49, 3 Er 3.51-3.53, 3 In 3.51-3.53
In (0.0000, 0.0000, 0.0000)  6 Tb 3.45-3.47, 6 Er 3.51-3.53

Output
- Formation enthalpy at 0 K: -0.04 eV/atom

# 2
Below is crystalline TlCd9Pb2 at its relaxed geometry, with properties calculated at the PBE level.

a = 6.0821 Å, b = 6.0821 Å, c = 28.9703 Å
α = 90.00°, β = 90.00°, γ = 120.00°
Closest atoms and distances in Å follow each position.
Space group R-3m (No. 166, hexagonal axes)
Asymmetric unit:
Tl (0.0000, 0.0000, 0.0000)  18 Cd 3.51-3.91
Cd (0.0000, 0.0000, 0.3337)  6 Cd 3.01-3.02
Cd (0.0000, 0.0000, 0.5000)  6 Cd 2.97
Cd (0.0049, 0.5024, 0.9154)  7 Cd 2.97-3.09
Pb (0.0000, 0.0000, 0.1415)  12 Cd 3.46-3.59, 3 Pb 3.80

Output
- Formation enthalpy at 0 K: 0.03 eV/atom

# 3
Below is crystalline Sm3Zn2Pd3 at its relaxed geometry, with properties calculated at the PBE level.

a = 8.4130 Å, b = 8.4130 Å, c = 5.6659 Å
α = 90.00°, β = 90.00°, γ = 120.00°
Closest atoms and distances in Å follow each position.
Space group P6_3/mcm (No. 193)
Asymmetric unit:
Sm (0.0000, 0.2723, 0.2500)  5 Pd 2.79-3.02
Zn (0.3333, 0.6667, 0.0000)  2 Zn 2.83, 6 Pd 2.95
Pd (0.0000, 0.3957, 0.7500)  5 Sm 2.79-3.02, 4 Zn 2.95

Output
- Formation enthalpy at 0 K: -0.62 eV/atom
- Excess energy over the best structure of this formula in the dataset: 0.085 eV per atom

# 4
Below is crystalline La2Al3Cu12Ni at its relaxed geometry, with properties calculated at the PBE level.

a = 6.2235 Å, b = 6.2235 Å, c = 26.7162 Å
α = 90.00°, β = 90.00°, γ = 120.00°
Closest atoms and distances in Å follow each position.
Space group R-3m (No. 166, hexagonal axes)
Asymmetric unit:
La (0.0000, 0.0000, 0.1553)  6 Cu 3.07-3.15
Al (0.0000, 0.5000, 0.0000)  6 Cu 2.42-2.56
Cu (0.0608, 0.5304, 0.0952)  1 Ni 2.41, 4 Cu 2.48-2.54, 1 Al 2.56
Cu (0.0741, 0.5370, 0.6168)  4 Cu 2.42-2.48, 2 Al 2.42
Ni (0.0000, 0.0000, 0.5000)  6 Cu 2.41

Output
- Formation enthalpy at 0 K: 0.08 eV/atom

# 5
Below is crystalline Tb3ErHg4 at its relaxed geometry, with properties calculated at the PBE level.

a = 14.1657 Å, b = 5.3321 Å, c = 5.9896 Å
α = 90.00°, β = 107.68°, γ = 90.00°
Closest atoms and distances in Å follow each position.
Space group C2/m (No. 12)
Asymmetric unit:
Tb (0.0000, 0.0000, 0.0000)  4 Hg 3.09
Tb (0.1675, 0.0000, 0.5806)  5 Hg 3.06-3.37
Er (0.0000, 0.5000, 0.5000)  2 Hg 2.99
Hg (0.1114, 0.5000, 0.1494)  1 Er 2.99, 2 Hg 3.01-3.12, 3 Tb 3.06-3.09
Hg (0.2393, 0.5000, 0.8300)  3 Hg 3.01-3.31, 3 Tb 3.07-3.12, 1 Er 3.37

Output
- Formation enthalpy at 0 K: -0.29 eV/atom
- Excess energy over the best structure of this formula in the dataset: 0.192 eV per atom

# 6
Below is crystalline CsLa2P2 at its relaxed geometry, with properties calculated at the PBE level.

a = 8.6468 Å, b = 8.6468 Å, c = 3.8535 Å
α = 90.00°, β = 90.00°, γ = 90.00°
Closest atoms and distances in Å follow each position.
Space group P4/mbm (No. 127)
Asymmetric unit:
Cs (0.0000, 0.0000, 0.0000)  4 P 3.31
La (0.1419, 0.3581, 0.5000)  6 P 3.15-3.23, 1 La 3.47
P (0.1458, 0.6458, 0.0000)  6 La 3.15-3.23, 2 Cs 3.31

Output
- Formation enthalpy at 0 K: -0.77 eV/atom

# 7
Below is crystalline CsFeIrCl6 at its relaxed geometry, with properties calculated at the PBE level.

a = 6.3752 Å, b = 11.0595 Å, c = 7.8603 Å
α = 90.00°, β = 90.05°, γ = 90.00°
Closest atoms and distances in Å follow each position.
Space group C2 (No. 5)
Asymmetric unit:
Cs (0.0000, 0.0000, 0.0000)  6 Cl 3.49-3.50
Fe (0.0000, 0.6667, 0.5000)  6 Cl 2.49
Ir (0.0000, 0.3336, 0.5000)  6 Cl 2.37
Cl (0.1308, 0.4930, 0.6713)  1 Ir 2.37, 1 Fe 2.49
Cl (0.1732, 0.1874, 0.6706)  1 Ir 2.37, 1 Fe 2.49
Cl (0.1946, 0.8197, 0.6708)  1 Ir 2.37, 1 Fe 2.49

Output
- ΔE_f (raw): -778 kJ/mol of formula units

# 8
Below is crystalline BeIn2Hg at its relaxed geometry, with properties calculated at the PBE level.

a = 3.1373 Å, b = 4.3553 Å, c = 12.9243 Å
α = 90.00°, β = 90.00°, γ = 90.00°
Closest atoms and distances in Å follow each position.
Space group Imm2 (No. 44)
Asymmetric unit:
Be (0.0000, 0.0000, 0.0000)  6 In 2.69-2.96, 2 Hg 2.71
In (0.0000, 0.0000, 0.5108)  4 Be 2.69
In (0.0000, 0.5000, 0.6946)  2 Be 2.96, 4 In 3.14-3.22, 4 Hg 3.20
Hg (0.0000, 0.5000, 0.3291)  2 Be 2.71

Output
- Formation enthalpy at 0 K: 0.29 eV/atom
- Excess energy over the best structure of this formula in the dataset: 0.032 eV per atom

Taking the records one at a time from the top gives VASP energy values of -107.84 -52.92 -74.51 -223.82 -43.91 -50.73 -74.64 -16.70 eV for the cell shown.